*a*
VASP calculation (PBE-GGA) on crystalline PrSi2Pt4 at its relaxed geometry.

Properties
* total magnetization: 0.000 μB per cell

Lattice parameters (Å, degrees): 4.156 4.157 7.319 106.50 90.00 90.00
Fractional coordinates of all 7 atoms:
Pr  0.000  0.000  0.000
Si  0.500  0.587  0.174
Si  0.500  0.413  0.826
Pt  0.500  0.824  0.649
Pt  0.000  0.673  0.346
Pt  0.500  0.176  0.351
Pt  0.000  0.327  0.654

*b*
VASP calculation (PBE-GGA) on crystalline PrSi2Pt4 at its relaxed geometry.

Properties
* total magnetization: 0.000 μB per cell

Lattice parameters (Å, degrees): 4.042 6.428 19.135 90.00 90.00 90.00
Fractional coordinates of all 28 atoms:
Pr  0.750  0.993  0.637
Pr  0.250  0.007  0.363
Pr  0.250  0.493  0.863
Pr  0.750  0.507  0.137
Si  0.250  0.734  0.541
Si  0.750  0.266  0.459
Si  0.750  0.234  0.959
Si  0.250  0.766  0.041
Si  0.250  0.927  0.802
Si  0.750  0.073  0.198
Si  0.750  0.427  0.698
Si  0.250  0.573  0.302
Pt  0.250  0.242  0.735
Pt  0.750  0.758  0.265
Pt  0.750  0.742  0.765
Pt  0.250  0.258  0.235
Pt  0.250  0.626  0.661
Pt  0.750  0.374  0.339
Pt  0.750  0.126  0.839
Pt  0.250  0.874  0.161
Pt  0.250  0.149  0.518
Pt  0.750  0.851  0.482
Pt  0.750  0.649  0.982
Pt  0.250  0.351  0.018
Pt  0.250  0.535  0.433
Pt  0.750  0.465  0.567
Pt  0.750  0.035  0.067
Pt  0.250  0.965  0.933

Least stable = *a*

*a*
VASP calculation (PBE-GGA) on crystalline PrSmPt at its relaxed geometry.

Properties
* total magnetization: 0.000 μB per cell

Lattice parameters (Å, degrees): 3.612 7.343 6.949 104.91 105.08 89.96
Fractional coordinates of all 6 atoms:
Pr  0.312  0.489  0.389
Pr  0.566  0.615  0.900
Sm  0.572  0.121  0.910
Sm  0.306  0.983  0.379
Pt  0.937  0.279  0.640
Pt  0.941  0.825  0.649

*b*
VASP calculation (PBE-GGA) on crystalline PrSmPt at its relaxed geometry.

Properties
* total magnetization: 0.000 μB per cell

Lattice parameters (Å, degrees): 4.360 4.723 4.723 120.00 90.00 90.00
Fractional coordinates of all 3 atoms:
Pr  0.723  0.667  0.333
Sm  0.255  0.333  0.667
Pt  0.023  0.000  0.000

*c*
VASP calculation (PBE-GGA) on crystalline PrSmPt at its relaxed geometry.

Properties
* total magnetization: 0.000 μB per cell

Lattice parameters (Å, degrees): 5.019 5.019 5.019 60.00 60.00 60.00
Fractional coordinates of all 3 atoms:
Pr  0.000  0.000  0.000
Sm  0.500  0.500  0.500
Pt  0.250  0.250  0.250

*d*
VASP calculation (PBE-GGA) on crystalline PrSmPt at its relaxed geometry.

Properties
* total magnetization: 0.000 μB per cell

Lattice parameters (Å, degrees): 7.132 7.327 13.486 90.00 90.00 90.00
Fractional coordinates of all 24 atoms:
Pr  0.789  0.398  0.802
Pr  0.211  0.602  0.198
Pr  0.711  0.898  0.198
Pr  0.211  0.102  0.302
Pr  0.289  0.102  0.802
Pr  0.789  0.898  0.698
Pr  0.289  0.602  0.698
Pr  0.711  0.398  0.302
Sm  0.003  0.258  0.533
Sm  0.997  0.742  0.467
Sm  0.497  0.758  0.467
Sm  0.997  0.242  0.033
Sm  0.503  0.242  0.533
Sm  0.003  0.758  0.967
Sm  0.503  0.742  0.967
Sm  0.497  0.258  0.033
Pt  0.731  0.044  0.899
Pt  0.269  0.956  0.101
Pt  0.769  0.544  0.101
Pt  0.269  0.456  0.399
Pt  0.231  0.456  0.899
Pt  0.731  0.544  0.601
Pt  0.231  0.956  0.601
Pt  0.769  0.044  0.399

Least stable = *b*

*a*
VASP calculation (PBE-GGA) on crystalline PrSm2Pt at its relaxed geometry.

Properties
* total magnetization: 0.000 μB per cell

Lattice parameters (Å, degrees): 3.633 3.633 8.909 90.00 90.00 90.00
Fractional coordinates of all 4 atoms:
Pr  0.500  0.500  0.500
Sm  0.000  0.000  0.812
Sm  0.000  0.000  0.188
Pt  0.500  0.500  0.000

*b*
VASP calculation (PBE-GGA) on crystalline PrSm2Pt at its relaxed geometry.

Properties
* total magnetization: 0.000 μB per cell

Lattice parameters (Å, degrees): 3.916 6.478 9.770 90.00 90.00 107.59
Fractional coordinates of all 8 atoms:
Pr  0.427  0.855  0.250
Pr  0.573  0.145  0.750
Sm  0.138  0.276  0.436
Sm  0.862  0.724  0.564
Sm  0.862  0.724  0.936
Sm  0.138  0.276  0.064
Pt  0.732  0.465  0.250
Pt  0.268  0.535  0.750

Least stable = *a*

*a*
VASP calculation (PBE-GGA) on crystalline PrSm2Pt at its relaxed geometry.

Properties
* total magnetization: 0.000 μB per cell

Lattice parameters (Å, degrees): 3.925 3.925 9.903 78.57 78.57 60.00
Fractional coordinates of all 4 atoms:
Pr  0.500  0.500  0.500
Sm  0.273  0.273  0.182
Sm  0.727  0.727  0.818
Pt  0.000  0.000  0.000

*b*
VASP calculation (PBE-GGA) on crystalline PrSm2Pt at its relaxed geometry.

Properties
* total magnetization: 0.000 μB per cell

Lattice parameters (Å, degrees): 4.028 4.028 9.546 77.82 77.82 60.00
Fractional coordinates of all 4 atoms:
Pr  0.502  0.502  0.495
Sm  0.060  0.060  0.821
Sm  0.273  0.273  0.181
Pt  0.666  0.666  0.003

*c*
VASP calculation (PBE-GGA) on crystalline PrSm2Pt at its relaxed geometry.

Properties
* total magnetization: 0.000 μB per cell

Lattice parameters (Å, degrees): 6.669 7.241 9.916 90.00 90.00 90.00
Fractional coordinates of all 16 atoms:
Pr  0.637  0.525  0.250
Pr  0.863  0.025  0.250
Pr  0.363  0.475  0.750
Pr  0.137  0.975  0.750
Sm  0.172  0.678  0.062
Sm  0.328  0.178  0.438
Sm  0.828  0.322  0.562
Sm  0.672  0.822  0.938
Sm  0.828  0.322  0.938
Sm  0.672  0.822  0.562
Sm  0.172  0.678  0.438
Sm  0.328  0.178  0.062
Pt  0.070  0.385  0.250
Pt  0.430  0.885  0.250
Pt  0.930  0.615  0.750
Pt  0.570  0.115  0.750

Least stable = *a*

*a*
VASP calculation (PBE-GGA) on crystalline PrSm3Pt2 at its relaxed geometry.

Properties
* total magnetization: 0.000 μB per cell

Lattice parameters (Å, degrees): 5.341 11.129 7.514 128.12 90.00 103.88
Fractional coordinates of all 12 atoms:
Pr  0.805  0.611  0.944
Pr  0.195  0.389  0.056
Sm  0.338  0.676  0.669
Sm  0.965  0.930  0.705
Sm  0.605  0.209  0.688
Sm  0.395  0.791  0.312
Sm  0.035  0.070  0.295
Sm  0.662  0.324  0.331
Pt  0.511  0.023  0.831
Pt  0.489  0.977  0.169
Pt  0.790  0.581  0.308
Pt  0.210  0.419  0.692

*b*
VASP calculation (PBE-GGA) on crystalline PrSm3Pt2 at its relaxed geometry.

Properties
* total magnetization: 0.003 μB per cell

Lattice parameters (Å, degrees): 6.908 7.396 7.930 105.56 90.00 117.84
Fractional coordinates of all 12 atoms:
Pr  0.247  0.000  0.250
Pr  0.753  0.000  0.750
Sm  0.261  0.000  0.750
Sm  0.739  0.000  0.250
Sm  0.784  0.570  0.893
Sm  0.214  0.430  0.607
Sm  0.786  0.570  0.393
Sm  0.216  0.430  0.107
Pt  0.376  0.751  0.438
Pt  0.375  0.751  0.938
Pt  0.625  0.249  0.062
Pt  0.624  0.249  0.562

Least stable = *a*

*a*
VASP calculation (PBE-GGA) on crystalline PrSnPt4 at its relaxed geometry.

Properties
* total magnetization: 0.000 μB per cell

Lattice parameters (Å, degrees): 4.288 5.854 9.647 90.00 102.84 90.00
Fractional coordinates of all 12 atoms:
Pr  0.084  0.250  0.167
Pr  0.916  0.750  0.833
Sn  0.227  0.750  0.453
Sn  0.773  0.250  0.547
Pt  0.500  0.500  0.000
Pt  0.500  0.000  0.000
Pt  0.658  0.982  0.317
Pt  0.342  0.018  0.683
Pt  0.342  0.482  0.683
Pt  0.658  0.518  0.317
Pt  0.076  0.750  0.152
Pt  0.924  0.250  0.848

*b*
VASP calculation (PBE-GGA) on crystalline PrSnPt4 at its relaxed geometry.

Properties
* total magnetization: 0.000 μB per cell

Lattice parameters (Å, degrees): 5.472 5.472 5.472 60.00 60.00 60.00
Fractional coordinates of all 6 atoms:
Pr  0.250  0.250  0.250
Sn  0.000  0.000  0.000
Pt  0.625  0.625  0.124
Pt  0.625  0.124  0.625
Pt  0.625  0.625  0.625
Pt  0.124  0.625  0.625

*c*
VASP calculation (PBE-GGA) on crystalline PrSnPt4 at its relaxed geometry.

Properties
* total magnetization: 0.000 μB per cell

Lattice parameters (Å, degrees): 4.384 5.636 10.759 90.00 101.76 90.00
Fractional coordinates of all 12 atoms:
Pr  0.393  0.750  0.787
Pr  0.607  0.250  0.213
Sn  0.103  0.750  0.205
Sn  0.897  0.250  0.795
Pt  0.211  0.493  0.421
Pt  0.789  0.507  0.579
Pt  0.211  0.007  0.421
Pt  0.789  0.993  0.579
Pt  0.674  0.750  0.349
Pt  0.326  0.250  0.651
Pt  0.000  0.500  0.000
Pt  0.000  0.000  0.000

Least stable = *c*

*a*
VASP calculation (PBE-GGA) on crystalline Pr4SnPt at its relaxed geometry.

Properties
* total magnetization: 0.000 μB per cell

Lattice parameters (Å, degrees): 6.384 7.119 10.247 90.00 124.73 90.00
Fractional coordinates of all 12 atoms:
Pr  0.538  0.250  0.423
Pr  0.462  0.750  0.577
Pr  0.728  0.250  0.879
Pr  0.272  0.750  0.121
Pr  0.883  0.005  0.275
Pr  0.117  0.505  0.725
Pr  0.883  0.495  0.275
Pr  0.117  0.995  0.725
Sn  0.347  0.250  0.053
Sn  0.653  0.750  0.947
Pt  0.240  0.250  0.555
Pt  0.760  0.750  0.445

*b*
VASP calculation (PBE-GGA) on crystalline Pr4SnPt at its relaxed geometry.

Properties
* total magnetization: 0.000 μB per cell

Lattice parameters (Å, degrees): 5.644 6.555 10.967 90.00 104.91 90.00
Fractional coordinates of all 12 atoms:
Pr  0.897  0.322  0.794
Pr  0.103  0.822  0.206
Pr  0.448  0.823  0.895
Pr  0.552  0.323  0.105
Pr  0.701  0.568  0.402
Pr  0.299  0.068  0.598
Pr  0.701  0.077  0.402
Pr  0.299  0.577  0.598
Sn  0.846  0.822  0.692
Sn  0.154  0.322  0.308
Pt  0.581  0.822  0.163
Pt  0.419  0.322  0.837

Least stable = *b*

*a*
VASP calculation (PBE-GGA) on crystalline SrPrPt at its relaxed geometry.

Properties
* total magnetization: 0.000 μB per cell

Lattice parameters (Å, degrees): 6.961 4.309 4.309 120.00 90.00 90.00
Fractional coordinates of all 3 atoms:
Pr  0.223  0.333  0.667
Sr  0.759  0.667  0.333
Pt  0.018  0.000  0.000

*b*
VASP calculation (PBE-GGA) on crystalline SrPrPt at its relaxed geometry.

Properties
* total magnetization: 0.000 μB per cell

Lattice parameters (Å, degrees): 3.959 7.363 7.742 68.17 75.23 90.06
Fractional coordinates of all 6 atoms:
Pt  0.393  0.452  0.215
Pt  0.607  0.548  0.785
Pr  0.982  0.256  0.034
Pr  0.018  0.744  0.966
Sr  0.720  0.251  0.559
Sr  0.280  0.749  0.441

Least stable = *a*